(1)
The following is a PBEsol calculation of a relaxed structure of NbMoPd3, from the Alexandria database.

Unit cell a=4.644 b=4.644 c=4.644 alpha=90.00 beta=90.00 gamma=90.00
Site moments in Bohr magnetons follow the coordinates.
Fractional coordinates of all 5 atoms:
Pd (0.000, 0.500, 0.000)  0.00
Nb (0.500, 0.500, 0.500)  1.59
Pd (0.500, 0.000, 0.000)  0.00
Mo (0.000, 0.000, 0.000)  -0.18
Pd (0.000, 0.000, 0.500)  0.00

Summary:
Its density of states at the Fermi level is 5.2 states/eV per cell. The value obtained for the distance to the lowest polymorph of the same formula is 0.0000 eV per atom. The calculation puts the formation energy at 1379 meV per atom. As for the final energy: -6.714 eV per atom.

---

(2)
The following is a PBEsol calculation of a relaxed structure of SrCoIr2, from the Alexandria database.

Unit cell a=4.282 b=4.282 c=5.802 alpha=111.54 beta=90.00 gamma=119.99
Site moments in Bohr magnetons follow the coordinates.
Fractional coordinates of all 4 atoms:
Ir (0.314, 0.628, 0.942)  0.28
Sr (0.501, 0.003, 0.503)  -0.02
Ir (0.002, 0.003, 0.005)  0.37
Co (0.683, 0.366, 0.050)  1.47

Summary:
Its density of states at the Fermi level is 3.7 states/eV per cell. The value obtained for the distance to the lowest polymorph of the same formula is 0.0000 eV per atom. The calculation puts the formation energy at 13 meV per atom. As for the final energy: -7.293 eV per atom.

---

(3)
The following is a PBEsol calculation of a relaxed structure of Tc3AgS, from the Alexandria database.

Unit cell a=4.868 b=4.868 c=4.868 alpha=90.00 beta=90.00 gamma=90.00
Site moments in Bohr magnetons follow the coordinates.
Fractional coordinates of all 5 atoms:
S (0.500, 0.500, 0.500)  0.13
Tc (0.000, 0.500, 0.000)  3.05
Ag (0.000, 0.000, 0.000)  0.22
Tc (0.000, 0.000, 0.500)  3.05
Tc (0.500, 0.000, 0.000)  3.05

Summary:
The value obtained for the uncorrected formation energy is 2.82 eV/atom. Its density of states at the Fermi level is 6.7 states/eV per cell. As for the final energy: -5.483 eV per atom.

---

(4)
The following is a PBEsol calculation of a relaxed structure of ScZn3Os, from the Alexandria database.

Unit cell a=4.741 b=4.741 c=4.741 alpha=90.00 beta=90.00 gamma=90.00
Site moments in Bohr magnetons follow the coordinates.
Fractional coordinates of all 5 atoms:
Zn (0.500, 0.000, 0.000)  -0.01
Zn (0.000, 0.000, 0.500)  -0.01
Zn (0.000, 0.500, 0.000)  -0.01
Sc (0.000, 0.000, 0.000)  -0.07
Os (0.500, 0.500, 0.500)  2.20

Summary:
Its density of states at the Fermi level is 4.4 states/eV per cell. The calculation puts the formation energy at 1966 meV per atom. As for the final energy: -2.747 eV per atom.

---

(5)
The following is a PBEsol calculation of a relaxed structure of CoPSe2, from the Alexandria database.

Unit cell a=2.676 b=2.676 c=9.700 alpha=90.00 beta=90.00 gamma=90.00
Site moments in Bohr magnetons follow the coordinates.
Fractional coordinates of all 4 atoms:
Se (0.000, 0.000, 0.993)  0.00
P (0.500, 0.500, 0.658)  -0.01
Se (0.500, 0.500, 0.332)  0.00
Co (0.000, 0.000, 0.517)  0.35

Summary:
The value obtained for the uncorrected formation energy is 0.06 eV/atom. Its density of states at the Fermi level is 2.6 states/eV per cell. As for the final energy: -5.249 eV per atom.

---

(6)
The following is a PBEsol calculation of a relaxed structure of TlFeMo3, from the Alexandria database.

Unit cell a=4.445 b=4.445 c=4.445 alpha=90.00 beta=90.00 gamma=90.00
Fractional coordinates of all 5 atoms:
Mo (0.500, 0.000, 0.000)
Mo (0.000, 0.000, 0.500)
Fe (0.000, 0.000, 0.000)
Mo (0.000, 0.500, 0.000)
Tl (0.500, 0.500, 0.500)

Summary:
Its density of states at the Fermi level is 4.8 states/eV per cell. The calculation puts the formation energy at 1100 meV per atom. As for the final energy: -8.279 eV per atom.

---

(7)
The following is a PBEsol calculation of a relaxed structure of SrCdNi, from the Alexandria database.

Unit cell a=4.804 b=4.804 c=4.804 alpha=60.00 beta=60.00 gamma=60.00
Fractional coordinates of all 3 atoms:
Ni (0.000, 0.000, 0.000)
Sr (0.500, 0.500, 0.500)
Cd (0.250, 0.250, 0.250)

Summary:
Its density of states at the Fermi level is 2.1 states/eV per cell. The calculation puts the formation energy at 387 meV per atom. As for the final energy: -2.678 eV per atom.

---

(8)
The following is a PBEsol calculation of a relaxed structure of AgPBr, from the Alexandria database.

Unit cell a=3.671 b=3.671 c=5.193 alpha=90.00 beta=90.00 gamma=120.00
Fractional coordinates of all 3 atoms:
Ag (0.000, 0.000, 0.035)
P (0.667, 0.333, 0.283)
Br (0.333, 0.667, 0.682)

Summary:
The value obtained for the uncorrected formation energy is 0.31 eV/atom. Its density of states at the Fermi level is 2.0 states/eV per cell. The value obtained for the distance to the lowest polymorph of the same formula is 0.1817 eV per atom. As for the final energy: -3.344 eV per atom.